Record 1
4
Lattice="5.444 0.001 0.001 2.354 4.909 -0.001 -3.044 -3.814 2.416" Properties=species:S:1:pos:R:3 comment="PBE KBeRh2, optimized geometry" formation_energy_ev_per_atom=0.368 crystal_system=orthorhombic pbc="T T T"
K 3.150 -0.679 1.208
Rh 3.519 2.216 0.000
Rh 0.380 0.239 0.000
Be 1.605 1.775 1.207



Record 2
4
Lattice="2.823 0.000 0.000 0.000 4.936 0.000 0.000 0.000 4.623" Properties=species:S:1:pos:R:3 comment="PBE KBeRh2, optimized geometry" formation_energy_ev_per_atom=0.833 crystal_system=orthorhombic pbc="T T T"
Be 1.411 0.000 2.312
Rh 0.000 0.000 0.000
K 0.000 2.468 2.312
Rh 1.411 2.468 0.000



Record 3
5
Lattice="-2.922 -0.940 -3.397 3.630 -4.635 -1.840 -2.272 -2.871 2.749" Properties=species:S:1:pos:R:3 comment="PBE KBe2SbRh, optimized geometry" raw_formation_energy_ev_per_atom=1.367 crystal_system=tetragonal pbc="T T T"
Rh -0.782 -4.223 -1.244
Be -1.136 -1.435 1.374
Sb 0.000 0.000 0.000
Be -1.461 -0.470 -1.698
K 1.815 -2.317 -0.920



Record 4
5
Lattice="4.523 0.000 0.000 0.000 4.504 0.000 0.000 0.000 4.523" Properties=species:S:1:pos:R:3 comment="PBE KBe2SiRh, optimized geometry" raw_formation_energy_ev_per_atom=0.082 crystal_system=tetragonal pbc="T T T"
K 2.262 2.252 2.262
Si 0.000 2.252 0.000
Rh 0.000 0.000 0.000
Be 0.000 0.000 2.262
Be 2.262 0.000 0.000



Calculated electronic total energy, -4.5135 -4.0491 -2.6382 -4.1829 eV/atom (same order as the records).
Calculated volume, 65 64 129 92 Å³/cell (same order as the records).